Record 1
# PBE-GGA Tl12Hg6Sb, optimized geometry
data_Tl12Hg6Sb
_chemical_formula_sum 'Tl36 Hg18 Sb3'
_symmetry_space_group_name_H-M 'R -3'
_symmetry_Int_Tables_number 148
_symmetry_space_group_name_Hall '-R 3'
_cell_length_a 11.6309
_cell_length_b 11.6309
_cell_length_c 14.7418
_cell_angle_alpha 90.00
_cell_angle_beta 90.00
_cell_angle_gamma 120.00
loop_
_atom_site_label
_atom_site_type_symbol
_atom_site_fract_x
_atom_site_fract_y
_atom_site_fract_z
Tl1 Tl 0.0403 0.1859 0.3111
Tl2 Tl 0.0637 0.8362 0.9181
Hg1 Hg 0.0253 0.4378 0.2019
Sb1 Sb 0.0000 0.0000 0.5000
# Theoretical density   10.9 g/cm³
# Total moment   0.00 μB per cell
# VASP energy   -1.7841 eV per atom
# Formation energy without anion corrections   0.023 eV per atom

---

Record 2
# PBE-GGA LiCrCd2Ni, optimized geometry
data_LiCrCd2Ni
_chemical_formula_sum 'Li1 Cr1 Cd2 Ni1'
_symmetry_space_group_name_H-M 'P 4/m m m'
_symmetry_Int_Tables_number 123
_symmetry_space_group_name_Hall '-P 4 2'
_cell_length_a 4.5092
_cell_length_b 4.5092
_cell_length_c 3.9687
_cell_angle_alpha 90.00
_cell_angle_beta 90.00
_cell_angle_gamma 90.00
loop_
_atom_site_label
_atom_site_type_symbol
_atom_site_fract_x
_atom_site_fract_y
_atom_site_fract_z
Li1 Li 0.0000 0.0000 0.0000
Cr1 Cr 0.5000 0.5000 0.5000
Cd1 Cd 0.0000 0.5000 0.0000
Ni1 Ni 0.0000 0.0000 0.5000
# Energy of formation from the pure elements   0.948 eV per atom
# Theoretical density   7.0 g/cm³
# Total moment   0.12 μB per cell
# VASP energy   -2.8815 eV per atom

---

Record 3
# PBE-GGA Pm8Dy2Sc3, optimized geometry
data_Pm8Dy2Sc3
_chemical_formula_sum 'Pm16 Dy4 Sc6'
_symmetry_space_group_name_H-M 'C 1 2/m 1'
_symmetry_Int_Tables_number 12
_symmetry_space_group_name_Hall '-C 2y'
_cell_length_a 13.3163
_cell_length_b 11.3937
_cell_length_c 5.9676
_cell_angle_alpha 90.00
_cell_angle_beta 112.88
_cell_angle_gamma 90.00
loop_
_atom_site_label
_atom_site_type_symbol
_atom_site_fract_x
_atom_site_fract_y
_atom_site_fract_z
Pm1 Pm 0.0853 0.0000 0.2581
Pm2 Pm 0.1366 0.5000 0.6167
Pm3 Pm 0.1542 0.2658 0.1453
Dy1 Dy 0.1829 0.0000 0.8256
Sc1 Sc 0.0000 0.2316 0.5000
Sc2 Sc 0.0000 0.5000 0.0000
# Energy of formation from the pure elements   0.181 eV per atom
# Theoretical density   6.4 g/cm³
# Total moment   0.00 μB per cell
# VASP energy   -4.9118 eV per atom